Entry from Alexandria via LeMat-Bulk: a relaxed structure of RbSr2Mo (GGA-PBE).

Calculated values
For the energy above the most stable polymorph in this dataset, the calculation gives 0 meV/atom. The symmetry is No. 225. The formation enthalpy at 0 K comes out at 1.00 eV/atom. The uncorrected energy is -2.79 eV/atom. As for the density of states at the Fermi level: 4.40 states/eV per cell.

a b c (Å): 6.1161 6.1161 6.1161
angles (deg): 60.00 60.00 60.00
With the nearest neighbours (Å) after each atom.
Positions (direct):
1 Mo 0.5000 0.5000 0.5000  8 Sr 3.75
2 Sr 0.7500 0.7500 0.7500  4 Rb 3.75, 4 Mo 3.75
3 Sr 0.2500 0.2500 0.2500  4 Rb 3.75, 4 Mo 3.75
4 Rb 0.0000 0.0000 0.0000  8 Sr 3.75